#one
Material: TaCdP2O
Method: DFT, PBE
State: relaxed

The structure in extended XYZ format:
```
5
Lattice="4.984 0.000 0.000 0.000 4.984 0.000 0.000 0.000 3.872" Properties=species:S:1:pos:R:3 pbc="T T T"
Ta 0.000 0.000 0.000
Cd 2.492 2.492 1.936
P 0.000 2.492 0.000
P 2.492 0.000 0.000
O 0.000 0.000 1.936
```

**Calculated density**: 6.4 Mg/m³
**Size of the total moment**: 0.000 Bohr magnetons per cell
**V**: 19.24 Å³ per atom

=====

#two
Material: TaCdP2O
Method: DFT, PBE
State: relaxed

The structure in extended XYZ format:
```
5
Lattice="4.872 0.000 0.000 0.000 4.872 0.000 0.000 0.000 3.894" Properties=species:S:1:pos:R:3 pbc="T T T"
Ta 0.000 0.000 0.000
Cd 2.436 2.436 1.947
P 0.000 2.436 1.947
P 2.436 0.000 1.947
O 2.436 2.436 0.000
```

**Calculated density**: 6.7 Mg/m³
**Size of the total moment**: 0.548 Bohr magnetons per cell
**V**: 18.49 Å³ per atom

=====

Which of them is most stable? Easy: #one.

=====

#one
Material: CdTcPO2
Method: DFT, PBE
State: relaxed

The structure in extended XYZ format:
```
5
Lattice="3.810 0.000 0.000 0.000 3.810 0.000 0.000 0.000 5.199" Properties=species:S:1:pos:R:3 pbc="T T T"
Cd 0.000 0.000 0.000
Tc 1.905 1.905 2.600
P 1.905 1.905 0.000
O 0.000 1.905 2.600
O 1.905 0.000 2.600
```

**Calculated density**: 6.0 Mg/m³
**Size of the total moment**: 0.000 Bohr magnetons per cell
**V**: 15.10 Å³ per atom

=====

#two
Material: CdTcPO2
Method: DFT, PBE
State: relaxed

The structure in extended XYZ format:
```
5
Lattice="4.028 0.000 0.000 0.000 4.028 0.000 0.000 0.000 5.203" Properties=species:S:1:pos:R:3 pbc="T T T"
Cd 0.000 0.000 0.000
Tc 2.014 2.014 2.601
P 0.000 0.000 2.601
O 0.000 2.014 0.000
O 2.014 0.000 0.000
```

**Calculated density**: 5.4 Mg/m³
**Size of the total moment**: 4.116 Bohr magnetons per cell
**V**: 16.89 Å³ per atom

=====

Which of them is most stable? Easy: #one.

=====

#one
Material: CdTcP2O
Method: DFT, PBE
State: relaxed

The structure in extended XYZ format:
```
5
Lattice="4.961 0.000 0.000 0.000 4.961 0.000 0.000 0.000 3.982" Properties=species:S:1:pos:R:3 pbc="T T T"
Cd 0.000 0.000 0.000
Tc 2.481 2.481 1.991
P 0.000 2.481 0.000
P 2.481 0.000 0.000
O 0.000 0.000 1.991
```

**Calculated density**: 4.9 Mg/m³
**Size of the total moment**: 2.500 Bohr magnetons per cell
**V**: 19.60 Å³ per atom

=====

#two
Material: CdTcP2O
Method: DFT, PBE
State: relaxed

The structure in extended XYZ format:
```
5
Lattice="4.833 0.000 0.000 0.000 4.833 0.000 0.000 0.000 3.727" Properties=species:S:1:pos:R:3 pbc="T T T"
Cd 0.000 0.000 0.000
Tc 2.416 2.416 1.863
P 0.000 2.416 1.863
P 2.416 0.000 1.863
O 2.416 2.416 0.000
```

**Calculated density**: 5.5 Mg/m³
**Size of the total moment**: 0.000 Bohr magnetons per cell
**V**: 17.41 Å³ per atom

=====

Which of them is most stable? Easy: #two.

=====

#one
Material: CdTePO
Method: DFT, PBE
State: relaxed

The structure in extended XYZ format:
```
4
Lattice="4.117 0.000 0.000 -2.049 4.602 0.000 -0.009 -1.766 5.210" Properties=species:S:1:pos:R:3 pbc="T T T"
Cd 0.000 0.000 0.000
Te 0.007 3.069 1.461
P 2.050 -0.563 3.779
O 2.047 0.963 3.674
```

**Calculated density**: 4.8 Mg/m³
**Size of the total moment**: 0.000 Bohr magnetons per cell
**V**: 24.68 Å³ per atom

=====

#two
Material: CdTePO
Method: DFT, PBE
State: relaxed

The structure in extended XYZ format:
```
4
Lattice="3.732 0.000 0.000 -1.129 4.531 0.000 -0.566 -2.040 5.410" Properties=species:S:1:pos:R:3 pbc="T T T"
Cd 0.000 0.000 0.000
Te 2.017 1.774 1.613
P 0.000 1.276 3.608
O 0.061 -0.237 3.804
```

**Calculated density**: 5.2 Mg/m³
**Size of the total moment**: 0.000 Bohr magnetons per cell
**V**: 22.87 Å³ per atom

=====

Which of them is most stable? Easy: #one.